Compound: Sc2FeP
Source: Alexandria via LeMat-Bulk
Functional: PBE
Structure: relaxed

Unit cell a=3.4916 b=3.4916 c=23.4231 alpha=90.00 beta=90.00 gamma=120.00
Space group R-3m (No. 166, hexagonal axes)
Unique sites:
1 Sc 0.0000 0.0000 0.0999 x6
2 Fe 0.0000 0.0000 0.0000 x3
3 P 0.0000 0.0000 0.5000 x3

The value obtained for the energy of formation from the pure elements is -0.081 eV/atom. The value obtained for the mass density is 3.6 g/cm³.



Compound: Ca2NpGe4Ir3
Source: Alexandria via LeMat-Bulk
Functional: PBE
Structure: relaxed

Unit cell a=4.177 b=4.177 c=11.599 alpha=90.00 beta=90.00 gamma=90.00
Space group P-4m2 (No. 115)
Unique sites:
1 Ca 0.000 0.500 0.234 x2
2 Np 0.000 0.000 0.500 x1
3 Ge 0.000 0.000 0.000 x1
4 Ge 0.000 0.500 0.671 x2
5 Ge 0.500 0.500 0.000 x1
6 Ir 0.000 0.500 0.882 x2
7 Ir 0.500 0.500 0.500 x1

The value obtained for the energy of formation from the pure elements is -0.431 eV/atom. The value obtained for the mass density is 9.7 g/cm³.



Compound: TmSnBr
Source: Alexandria via LeMat-Bulk
Functional: PBE
Structure: relaxed

Unit cell a=5.316 b=19.555 c=4.605 alpha=90.00 beta=90.00 gamma=90.00
Space group Cmcm (No. 63)
Unique sites:
1 Tm 0.000 0.112 0.250 x4
2 Sn 0.000 0.455 0.750 x4
3 Br 0.000 0.191 0.750 x4

The value obtained for the mass density is 5.1 g/cm³. The value obtained for the raw formation energy is -0.673 eV per atom.



Compound: CdFe
Source: Alexandria via LeMat-Bulk
Functional: PBE
Structure: relaxed

Unit cell a=2.8396 b=2.8396 c=4.6706 alpha=90.00 beta=90.00 gamma=120.00
Space group P-6m2 (No. 187)
Unique sites:
1 Cd 0.0000 0.0000 0.0000 x1
2 Fe 0.3333 0.6667 0.5000 x1

The value obtained for the energy of formation from the pure elements is 0.414 eV/atom. The value obtained for the mass density is 8.6 g/cm³.



Compound: CeGdIr
Source: Alexandria via LeMat-Bulk
Functional: PBE
Structure: relaxed

Unit cell a=3.540 b=3.540 c=12.162 alpha=90.00 beta=90.00 gamma=90.00
Space group I4mm (No. 107)
Unique sites:
1 Ce 0.000 0.000 0.000 x2
2 Gd 0.000 0.000 0.270 x2
3 Ir 0.000 0.000 0.628 x2

The value obtained for the energy of formation from the pure elements is -0.483 eV/atom. The value obtained for the mass density is 10.7 g/cm³. Its relative energy among the computed polymorphs is 34 meV per atom.



Compound: Ta2AuCF
Source: Alexandria via LeMat-Bulk
Functional: PBE
Structure: relaxed

Unit cell a=4.181 b=4.181 c=4.271 alpha=90.00 beta=90.00 gamma=90.00
Space group P4/mmm (No. 123)
Unique sites:
1 Ta 0.000 0.500 0.000 x2
2 Au 0.000 0.000 0.500 x1
3 C 0.500 0.500 0.500 x1
4 F 0.500 0.500 0.000 x1

The value obtained for the mass density is 13.1 g/cm³. The value obtained for the raw formation energy is 1.043 eV per atom.



| no. | total DFT energy (no corrections) (eV per cell) |
| --- | --- |
| 1 | -80.6 |
| 2 | -66.3 |
| 3 | -48.7 |
| 4 | -8.6 |
| 5 | -60.7 |
| 6 | -32.9 |